Zr2Ga3Rh after structural relaxation, computed with PBE-GGA. Values from VASP.

Geometry as Quantum ESPRESSO input:
```
&SYSTEM
  ibrav = 0, nat = 6, ntyp = 3
/
ATOMIC_SPECIES
Zr 91.22 Zr.upf
Ga 69.72 Ga.upf
Rh 102.91 Rh.upf
ATOMIC_POSITIONS crystal
Zr 0.461 0.788 0.291
Zr 0.534 0.217 0.716
Ga 0.832 0.207 0.130
Ga 0.842 0.635 0.680
Ga 0.164 0.780 0.892
Rh 0.167 0.374 0.292
CELL_PARAMETERS angstrom
-3.585 1.914 1.450
-1.380 -1.516 5.010
0.986 4.269 3.222
```

## Properties
Its total energy is -6.242 eV per atom. As for the relative energy among the computed polymorphs: 0 meV/atom. The total magnetic moment comes out at 0.0 μB/f.u. The calculation puts the formation energy at -15.08 kcal/mol of atoms.

---

ZrGa2Rh5 after structural relaxation, computed with PBE-GGA. Values from VASP.

Geometry as Quantum ESPRESSO input:
```
&SYSTEM
  ibrav = 0, nat = 16, ntyp = 3
/
ATOMIC_SPECIES
Rh 102.91 Rh.upf
Zr 91.22 Zr.upf
Ga 69.72 Ga.upf
ATOMIC_POSITIONS crystal
Rh 0.500 0.679 0.880
Rh 0.000 0.350 0.766
Rh 0.000 0.650 0.234
Rh 0.500 0.321 0.120
Rh 0.500 0.179 0.620
Rh 0.000 0.850 0.734
Rh 0.000 0.500 0.500
Rh 0.500 0.821 0.380
Rh 0.000 0.000 0.000
Rh 0.000 0.150 0.266
Zr 0.000 0.500 0.000
Zr 0.000 0.000 0.500
Ga 0.500 0.160 0.870
Ga 0.500 0.660 0.630
Ga 0.500 0.340 0.370
Ga 0.500 0.840 0.130
CELL_PARAMETERS angstrom
4.310 0.000 0.000
0.000 5.407 0.000
0.000 0.000 10.433
```

## Properties
Its total energy is -6.968 eV per atom. The total magnetic moment comes out at 0.0 μB/f.u. The calculation puts the formation energy at -12.65 kcal/mol of atoms.

---

Zr2Ga6Rh after structural relaxation, computed with PBE-GGA. Values from VASP.

Geometry as Quantum ESPRESSO input:
```
&SYSTEM
  ibrav = 0, nat = 9, ntyp = 3
/
ATOMIC_SPECIES
Zr 91.22 Zr.upf
Rh 102.91 Rh.upf
Ga 69.72 Ga.upf
ATOMIC_POSITIONS crystal
Zr 0.500 0.728 0.457
Zr 0.500 0.272 0.543
Rh 0.000 0.000 0.000
Ga 0.500 0.314 0.001
Ga 0.500 0.686 0.999
Ga 0.000 0.064 0.726
Ga 0.000 0.663 0.725
Ga 0.000 0.337 0.275
Ga 0.000 0.936 0.274
CELL_PARAMETERS angstrom
-2.346 0.493 -1.786
1.725 -5.115 -3.677
-5.628 -2.518 6.699
```

## Properties
Its total energy is -5.067 eV per atom. The total magnetic moment comes out at 0.0 μB/f.u. The calculation puts the formation energy at -7.67 kcal/mol of atoms.

---

Zr2GaRh after structural relaxation, computed with PBE-GGA. Values from VASP.

Geometry as Quantum ESPRESSO input:
```
&SYSTEM
  ibrav = 0, nat = 4, ntyp = 3
/
ATOMIC_SPECIES
Rh 102.91 Rh.upf
Zr 91.22 Zr.upf
Ga 69.72 Ga.upf
ATOMIC_POSITIONS crystal
Rh 0.500 0.000 0.000
Zr 0.000 0.500 0.000
Zr 0.000 0.000 0.500
Ga 0.500 0.500 0.500
CELL_PARAMETERS angstrom
-2.553 0.496 -2.790
2.705 -1.982 -2.828
-1.817 -3.872 0.975
```

## Properties
Its total energy is -7.473 eV per atom. The total magnetic moment comes out at 0.0 μB/f.u. The calculation puts the formation energy at -13.94 kcal/mol of atoms.

---

Zr2GaRh after structural relaxation, computed with PBE-GGA. Values from VASP.

Geometry as Quantum ESPRESSO input:
```
&SYSTEM
  ibrav = 0, nat = 4, ntyp = 3
/
ATOMIC_SPECIES
Zr 91.22 Zr.upf
Ga 69.72 Ga.upf
Rh 102.91 Rh.upf
ATOMIC_POSITIONS crystal
Zr 0.704 0.467 0.125
Zr 0.905 0.668 0.522
Ga 0.486 0.248 0.781
Rh 0.116 0.879 0.890
CELL_PARAMETERS angstrom
4.357 0.000 0.001
2.178 3.773 0.026
2.179 1.226 4.868
```

## Properties
Its total energy is -7.311 eV per atom. The total magnetic moment comes out at 0.0 μB/f.u. The calculation puts the formation energy at -10.19 kcal/mol of atoms.

---

Zr2Ga8Rh after structural relaxation, computed with PBE-GGA. Values from VASP.

Geometry as Quantum ESPRESSO input:
```
&SYSTEM
  ibrav = 0, nat = 11, ntyp = 3
/
ATOMIC_SPECIES
Zr 91.22 Zr.upf
Rh 102.91 Rh.upf
Ga 69.72 Ga.upf
ATOMIC_POSITIONS crystal
Zr 0.000 0.000 0.314
Zr 0.000 0.000 0.686
Rh 0.000 0.000 0.000
Ga 0.500 0.000 0.871
Ga 0.000 0.500 0.871
Ga 0.500 0.500 0.689
Ga 0.500 0.500 0.311
Ga 0.000 0.500 0.129
Ga 0.500 0.000 0.129
Ga 0.500 0.000 0.500
Ga 0.000 0.500 0.500
CELL_PARAMETERS angstrom
4.206 0.000 0.000
0.000 4.206 0.000
0.000 0.000 10.821
```

## Properties
Its total energy is -4.924 eV per atom. The total magnetic moment comes out at 0.0 μB/f.u. The calculation puts the formation energy at -11.54 kcal/mol of atoms.

---

ZrGaRh5 after structural relaxation, computed with PBE-GGA. Values from VASP.

Geometry as Quantum ESPRESSO input:
```
&SYSTEM
  ibrav = 0, nat = 7, ntyp = 3
/
ATOMIC_SPECIES
Ga 69.72 Ga.upf
Rh 102.91 Rh.upf
Zr 91.22 Zr.upf
ATOMIC_POSITIONS crystal
Ga 0.500 0.500 0.000
Rh 0.500 0.000 0.218
Rh 0.000 0.500 0.218
Rh 0.000 0.500 0.782
Rh 0.500 0.500 0.500
Rh 0.500 0.000 0.782
Zr 0.000 0.000 0.500
CELL_PARAMETERS angstrom
-2.747 -2.257 2.014
-1.914 -0.809 -3.518
3.813 -5.387 -0.835
```

## Properties
Its total energy is -7.320 eV per atom. The total magnetic moment comes out at 0.0 μB/f.u. The calculation puts the formation energy at -9.58 kcal/mol of atoms.

---

Zr2Ga3Rh after structural relaxation, computed with PBE-GGA. Values from VASP.

Geometry as Quantum ESPRESSO input:
```
&SYSTEM
  ibrav = 0, nat = 6, ntyp = 3
/
ATOMIC_SPECIES
Ga 69.72 Ga.upf
Zr 91.22 Zr.upf
Rh 102.91 Rh.upf
ATOMIC_POSITIONS crystal
Ga 0.352 0.352 0.704
Ga 0.000 0.000 0.000
Ga 0.648 0.648 0.296
Zr 0.677 0.177 0.355
Zr 0.323 0.823 0.645
Rh 0.000 0.500 0.000
CELL_PARAMETERS angstrom
3.086 0.000 0.000
0.000 5.454 0.000
-1.543 -2.727 6.734
```

## Properties
Its total energy is -5.855 eV per atom. As for the relative energy among the computed polymorphs: 387 meV/atom. The total magnetic moment comes out at 0.0 μB/f.u. The calculation puts the formation energy at -6.16 kcal/mol of atoms.

---

Zr2GaRh after structural relaxation, computed with PBE-GGA. Values from VASP.

Geometry as Quantum ESPRESSO input:
```
&SYSTEM
  ibrav = 0, nat = 4, ntyp = 3
/
ATOMIC_SPECIES
Zr 91.22 Zr.upf
Rh 102.91 Rh.upf
Ga 69.72 Ga.upf
ATOMIC_POSITIONS crystal
Zr 0.000 0.000 0.239
Zr 0.000 0.000 0.761
Rh 0.500 0.500 0.000
Ga 0.500 0.500 0.500
CELL_PARAMETERS angstrom
-2.091 2.281 -0.019
-1.852 -1.713 -1.791
-3.315 -2.987 6.288
```

## Properties
Its total energy is -7.468 eV per atom. The total magnetic moment comes out at 0.0 μB/f.u. The calculation puts the formation energy at -13.83 kcal/mol of atoms.

---

Zr2Ga4Rh after structural relaxation, computed with PBE-GGA. Values from VASP.

Geometry as Quantum ESPRESSO input:
```
&SYSTEM
  ibrav = 0, nat = 7, ntyp = 3
/
ATOMIC_SPECIES
Zr 91.22 Zr.upf
Ga 69.72 Ga.upf
Rh 102.91 Rh.upf
ATOMIC_POSITIONS crystal
Zr 0.750 0.250 0.500
Zr 0.250 0.750 0.500
Ga 0.716 0.285 0.000
Ga 0.284 0.715 0.999
Ga 0.716 0.716 0.000
Ga 0.284 0.284 0.000
Rh 0.000 0.000 0.000
CELL_PARAMETERS angstrom
6.339 0.005 -0.002
-0.003 6.339 0.002
-3.167 -3.173 3.269
```

## Properties
Its total energy is -5.525 eV per atom. The total magnetic moment comes out at 0.0 μB/f.u. The calculation puts the formation energy at -6.98 kcal/mol of atoms.

---

Zr2GaRh after structural relaxation, computed with PBE-GGA. Values from VASP.

Geometry as Quantum ESPRESSO input:
```
&SYSTEM
  ibrav = 0, nat = 8, ntyp = 3
/
ATOMIC_SPECIES
Rh 102.91 Rh.upf
Zr 91.22 Zr.upf
Ga 69.72 Ga.upf
ATOMIC_POSITIONS crystal
Rh 0.750 0.651 0.302
Rh 0.250 0.349 0.698
Zr 0.750 0.187 0.424
Zr 0.750 0.228 0.917
Zr 0.250 0.772 0.083
Zr 0.250 0.813 0.576
Ga 0.250 0.323 0.213
Ga 0.750 0.677 0.787
CELL_PARAMETERS angstrom
4.297 0.000 0.000
0.000 5.238 -1.957
0.000 -0.283 6.895
```

## Properties
Its total energy is -7.532 eV per atom. The total magnetic moment comes out at 0.0 μB/f.u. The calculation puts the formation energy at -15.29 kcal/mol of atoms.

---

- Which value of total magnetic moment does entry 6 give?
  0.0 μB/f.u.

---

- Number 5 is which compound?
  Zr2GaRh

---

- What is the total magnetic moment in the first record?
  0.0 μB/f.u.